No. 1
Below is a relaxed structure of CsMgCd2Hg, with properties calculated at the GGA-PBE level.

Values from the calculation:
The density of states at the Fermi level is 2.8 states/eV per cell. The formation energy comes out at 0.004 eV per atom. The value obtained for the volume is 37.1 Å³/atom. Its raw total energy is -0.034 Ha/atom.

```
CsMgCd2Hg
1.0
5.689 0.000 0.000
0.000 5.689 0.000
0.000 0.000 5.734
Cs Mg Hg Cd
1 1 1 2
Cartesian
2.845 2.845 2.867
0.000 0.000 0.000
0.000 0.000 2.867
0.000 2.845 0.000
2.845 0.000 0.000
```



No. 2
Below is a relaxed structure of MgScOs2I, with properties calculated at the GGA-PBE level.

Values from the calculation:
The density of states at the Fermi level is 4.3 states/eV per cell. The value obtained for the volume is 22.9 Å³/atom. Its raw total energy is -0.172 Ha/atom. As for the formation energy from raw total energies: 1.69 eV per atom.

```
MgScOs2I
1.0
4.710 0.000 0.000
0.000 5.153 0.000
0.000 0.000 4.710
I Sc Mg Os
1 1 1 2
Cartesian
0.000 2.576 0.000
2.355 2.576 2.355
0.000 0.000 0.000
0.000 0.000 2.355
2.355 0.000 0.000
```



No. 3
Below is a relaxed structure of ZnCrRe2, with properties calculated at the GGA-PBE level.

Values from the calculation:
The density of states at the Fermi level is 4.5 states/eV per cell. The formation energy comes out at 0.350 eV per atom. The value obtained for the volume is 13.9 Å³/atom. Its raw total energy is -0.316 Ha/atom.

```
ZnCrRe2
1.0
-0.204 -0.835 4.551
-2.394 -3.214 -2.321
2.276 -1.562 -0.185
Cr Re Zn
1 2 1
Cartesian
-0.059 -2.388 -1.253
0.000 0.000 0.000
-1.299 -2.024 1.115
1.036 -1.199 2.183
```



No. 4
Below is a relaxed structure of LiPm4AlGa2, with properties calculated at the GGA-PBE level.

Values from the calculation:
The density of states at the Fermi level is 7.9 states/eV per cell. The formation energy comes out at -0.386 eV per atom. The value obtained for the volume is 25.2 Å³/atom. Its raw total energy is -0.155 Ha/atom.

```
LiPm4AlGa2
1.0
-2.011 3.591 3.211
-4.744 1.969 -0.930
-5.756 -4.350 5.503
Li Pm Al Ga
1 4 1 2
Cartesian
0.000 0.000 0.000
-7.543 -1.674 5.634
-8.086 3.204 4.083
-4.425 -1.994 3.701
-4.968 2.884 2.150
-6.256 0.605 3.892
-9.441 0.805 5.916
-3.070 0.405 1.868
```